Pr6PdAu5 | PBE-GGA | optimized geometry

energy	-118.2	eV per cell
total moment	0.0	μB/f.u.
ΔH_f (0 K)	-0.7371	eV per atom

Lattice parameters (Å, degrees): 5.286 7.433 15.815 90.00 90.00 90.00
Space group Immm (No. 71)
One atom of each set of equivalent atoms:
Pr (0.000, 0.246, 0.000) [4 per cell]
Pr (0.000, 0.252, 0.335) [8 per cell]
Pd (0.000, 0.500, 0.500) [2 per cell]
Au (0.000, 0.000, 0.170) [4 per cell]
Au (0.000, 0.000, 0.500) [2 per cell]
Au (0.000, 0.500, 0.166) [4 per cell]